1.
LaYIn2Ni4 (PBE-GGA, relaxed); total energy = -5.278 eV per atom; total magnetization = 0.002 μB per formula unit; ρ = 7.6 Mg/m³; polymorph energy (0 for the lowest one) = 0.053 eV per atom
1.0
4.434 0.000 0.000
-2.217 3.840 0.000
0.000 0.000 8.852
La Y In Ni
1 1 2 4
Cartesian
0.000 0.000 0.000 La
0.000 2.560 4.426 Y
2.217 1.280 2.334 In
2.217 1.280 6.517 In
0.000 0.000 2.934 Ni
0.000 0.000 5.918 Ni
0.000 2.560 1.666 Ni
0.000 2.560 7.186 Ni

---

2.
SrB2Pt3 (PBE-GGA, relaxed); total energy = -6.013 eV per atom; total magnetization = 0.000 μB per formula unit; ρ = 13.1 Mg/m³
1.0
5.558 0.000 0.000
-2.779 4.813 0.000
0.000 0.000 3.298
Sr B Pt
1 2 3
Cartesian
0.000 0.000 0.000 Sr
0.000 3.209 0.000 B
2.779 1.604 0.000 B
-1.389 2.407 1.649 Pt
2.779 0.000 1.649 Pt
1.389 2.407 1.649 Pt

---

3.
As2Au7 (PBE-GGA, relaxed); total energy = -3.446 eV per atom; ρ = 10.6 Mg/m³
1.0
2.909 0.000 0.000
-1.455 2.520 0.000
0.000 0.000 32.521
As Au
2 7
Cartesian
0.000 1.680 6.702 As
1.455 0.840 25.819 As
0.000 0.000 8.971 Au
0.000 0.000 16.261 Au
0.000 0.000 23.550 Au
0.000 1.680 13.845 Au
0.000 1.680 21.082 Au
1.455 0.840 11.440 Au
1.455 0.840 18.676 Au

---

4.
Si2AgPd (PBE-GGA, relaxed); total energy = -4.477 eV per atom; ρ = 7.2 Mg/m³
1.0
6.309 0.000 0.000
0.000 6.309 0.000
0.000 0.000 6.309
Si Ag Pd
8 4 4
Cartesian
0.000 0.000 0.000 Si
0.000 3.154 3.154 Si
1.577 1.577 1.577 Si
1.577 4.731 4.731 Si
3.154 0.000 3.154 Si
3.154 3.154 0.000 Si
4.731 1.577 4.731 Si
4.731 4.731 1.577 Si
1.577 1.577 4.731 Ag
1.577 4.731 1.577 Ag
4.731 1.577 1.577 Ag
4.731 4.731 4.731 Ag
0.000 0.000 3.154 Pd
0.000 3.154 0.000 Pd
3.154 0.000 0.000 Pd
3.154 3.154 3.154 Pd